Below is a relaxed Na2NiAgO4 crystal, with properties calculated at the PBE with a Hubbard U level.

a b c (Å): 5.9050 2.9744 6.0991
angles (deg): 90.00 116.86 90.00
Closest atoms and distances in Å follow each position.
Fractional positions:
Na 0.0000 0.0000 0.0000  4 O 2.41
Na 0.0000 0.5000 0.5000  6 O 2.33-2.36
Ni 0.5000 0.0000 0.5000  4 O 1.96
Ag 0.5000 0.5000 0.0000  4 O 2.04
O 0.2786 0.5000 0.3194  2 Ni 1.96
O 0.3104 0.0000 0.7572  2 Ag 2.04
O 0.6896 0.0000 0.2428  2 Ag 2.04
O 0.7214 0.5000 0.6806  2 Ni 1.96

Values from the calculation:
Space group: P2/m, No. 10
V (Å³ per cell): 96
M_tot (μB per cell): 1.0
Total DFT energy (no corrections) (eV/cell): -34.48
DOS at the Fermi energy (states/eV/f.u.): 0.2